[1]
First-principles (PBE-GGA) data for a relaxed ZnSnW2Cl crystal, as listed in Alexandria.

Lattice parameters (Å, degrees): 5.307 5.307 5.299 90.00 90.00 90.00
Atoms (fractional coordinates):
Zn  0.000  0.000  0.000
Sn  0.500  0.500  0.500
W  0.000  0.500  0.500
W  0.500  0.000  0.500
Cl  0.500  0.500  0.000

Crystal system = tetragonal
Uncorrected energy = -22.14 eV/f.u.
Raw formation energy = 2.1777 eV per atom
Total magnetization = 1.473 μB/atom

[2]
First-principles (PBE-GGA) data for a relaxed ZnSnWCl2 crystal, as listed in Alexandria.

Lattice parameters (Å, degrees): 4.529 4.529 6.148 90.00 90.00 90.00
Atoms (fractional coordinates):
Zn  0.000  0.000  0.000
Sn  0.500  0.500  0.500
W  0.000  0.000  0.500
Cl  0.000  0.500  0.000
Cl  0.500  0.000  0.000

Crystal system = tetragonal
Uncorrected energy = -18.06 eV/f.u.
Raw formation energy = 0.7733 eV per atom
Total magnetization = 0.718 μB/atom

[3]
First-principles (PBE-GGA) data for a relaxed YSn2Cl8 crystal, as listed in Alexandria.

Lattice parameters (Å, degrees): 7.555 7.555 7.165 106.16 106.16 71.89
Atoms (fractional coordinates):
Y  0.000  0.000  0.000
Sn  0.343  0.343  0.785
Sn  0.657  0.657  0.215
Cl  0.043  0.655  0.762
Cl  0.118  0.118  0.750
Cl  0.345  0.957  0.238
Cl  0.417  0.417  0.160
Cl  0.583  0.583  0.840
Cl  0.655  0.043  0.762
Cl  0.882  0.882  0.250
Cl  0.957  0.345  0.238

Crystal system = monoclinic
Uncorrected energy = -44.07 eV/f.u.
Raw formation energy = -1.3475 eV per atom
Total magnetization = 0.000 μB/atom